Entry from Alexandria: an optimized crystal structure of Tb2Ho6Zr (PBE-GGA).

Structure (POSCAR):
```
Tb2Ho6Zr
1.0
6.531 0.000 0.000
-2.004 7.969 0.000
-2.303 -3.046 10.551
Tb Ho Zr
4 12 2
Direct
0.225 0.182 0.055
0.254 0.852 0.810
0.746 0.148 0.190
0.775 0.818 0.945
0.046 0.300 0.500
0.093 0.941 0.303
0.194 0.533 0.278
0.291 0.758 0.075
0.330 0.436 0.824
0.485 0.693 0.596
0.515 0.307 0.404
0.670 0.564 0.176
0.709 0.242 0.925
0.806 0.467 0.722
0.907 0.059 0.697
0.954 0.700 0.500
0.397 0.082 0.613
0.603 0.918 0.387
```

Calculated values
**D(E_F)**: 29.6 states/eV per cell
**Crystal system**: triclinic
**DFT formation energy**: 0.078 eV per atom
**Relative energy among the computed polymorphs**: 0.03 eV/f.u.
**Total moment**: 0.00 μB/f.u.
**E_tot**: -89.15 eV per cell